Record 1
Crystalline CsC2S at its relaxed geometry. Source: Alexandria via LeMat-Bulk, functional PBE-GGA.

Cell and atoms, written as CIF:
```
data_CsC2S
_chemical_formula_sum 'Cs4 C8 S4'
_cell_length_a 5.5901
_cell_length_b 5.5901
_cell_length_c 7.8723
_cell_angle_alpha 90.00
_cell_angle_beta 90.00
_cell_angle_gamma 90.00
_symmetry_space_group_name_H-M 'I 41/a m d'
_symmetry_Int_Tables_number 141
loop_
_symmetry_equiv_pos_as_xyz
'x,y,z'
'-x,-y,-z'
'-y+1/4,x+3/4,z+1/4'
'y+1/4,-x+3/4,-z+1/4'
'-x+1/2,-y,z+1/2'
'x+1/2,y,-z+1/2'
'y+1/4,-x+1/4,z+3/4'
'-y+1/4,x+1/4,-z+3/4'
'x,-y,-z'
'-x,y,z'
'-y+1/4,-x+1/4,-z+3/4'
'y+1/4,x+1/4,z+3/4'
'-x+1/2,y,-z+1/2'
'x+1/2,-y,z+1/2'
'y+1/4,x+3/4,-z+1/4'
'-y+1/4,-x+3/4,z+1/4'
'x+1/2,y+1/2,z+1/2'
'-x+1/2,-y+1/2,-z+1/2'
'-y+3/4,x+1/4,z+3/4'
'y+3/4,-x+1/4,-z+3/4'
'-x,-y+1/2,z'
'x,y+1/2,-z'
'y+3/4,-x+3/4,z+1/4'
'-y+3/4,x+3/4,-z+1/4'
'x+1/2,-y+1/2,-z+1/2'
'-x+1/2,y+1/2,z+1/2'
'-y+3/4,-x+3/4,-z+1/4'
'y+3/4,x+3/4,z+1/4'
'-x,y+1/2,-z'
'x,-y+1/2,z'
'y+3/4,x+1/4,-z+3/4'
'-y+3/4,-x+1/4,z+3/4'
loop_
_atom_site_label
_atom_site_type_symbol
_atom_site_fract_x
_atom_site_fract_y
_atom_site_fract_z
Cs1 Cs 0.0000 0.2500 0.3750
C1 C 0.0000 0.0000 0.0000
S1 S 0.0000 0.2500 0.8750
```

Results
DOS(E_F) in states/eV/f.u.: 0.9


Record 2
Crystalline CsCS2 at its relaxed geometry. Source: Alexandria via LeMat-Bulk, functional PBE-GGA.

Cell and atoms, written as CIF:
```
data_CsCS2
_chemical_formula_sum 'Cs4 C4 S8'
_cell_length_a 6.5098
_cell_length_b 6.5098
_cell_length_c 8.7418
_cell_angle_alpha 90.00
_cell_angle_beta 90.00
_cell_angle_gamma 90.00
_symmetry_space_group_name_H-M 'I -4 2 d'
_symmetry_Int_Tables_number 122
_symmetry_space_group_name_Hall 'I -4 2bw'
loop_
_atom_site_label
_atom_site_type_symbol
_atom_site_fract_x
_atom_site_fract_y
_atom_site_fract_z
Cs1 Cs 0.0000 0.0000 0.0000
C1 C 0.0000 0.0000 0.5000
S1 S 0.0578 0.2500 0.6250
```

Results
DOS(E_F) in states/eV/f.u.: 2.8


Record 3
Crystalline Cs2CS5 at its relaxed geometry. Source: Alexandria via LeMat-Bulk, functional PBE-GGA.

Cell and atoms, written as CIF:
```
data_Cs2CS5
_chemical_formula_sum 'Cs4 C2 S10'
_cell_length_a 11.9188
_cell_length_b 7.3227
_cell_length_c 7.3109
_cell_angle_alpha 90.00
_cell_angle_beta 104.23
_cell_angle_gamma 90.00
_symmetry_space_group_name_H-M 'C 1 m 1'
_symmetry_Int_Tables_number 8
loop_
_symmetry_equiv_pos_as_xyz
'x,y,z'
'x,-y,z'
'x+1/2,y+1/2,z'
'x+1/2,-y+1/2,z'
loop_
_atom_site_label
_atom_site_type_symbol
_atom_site_fract_x
_atom_site_fract_y
_atom_site_fract_z
Cs1 Cs 0.0000 0.0000 0.0000
Cs2 Cs 0.0412 0.5000 0.4872
C1 C 0.3618 0.5000 0.4096
S1 S 0.0079 0.0000 0.5115
S2 S 0.2137 0.3650 0.9807
S3 S 0.2852 0.3018 0.3473
```


Record 4
Crystalline CsCS3 at its relaxed geometry. Source: Alexandria via LeMat-Bulk, functional PBE-GGA.

Cell and atoms, written as CIF:
```
data_CsCS3
_chemical_formula_sum 'Cs1 C1 S3'
_cell_length_a 4.5882
_cell_length_b 4.5882
_cell_length_c 4.5882
_cell_angle_alpha 90.00
_cell_angle_beta 90.00
_cell_angle_gamma 90.00
_symmetry_space_group_name_H-M 'P m -3 m'
_symmetry_Int_Tables_number 221
_symmetry_space_group_name_Hall '-P 4 2 3'
loop_
_atom_site_label
_atom_site_type_symbol
_atom_site_fract_x
_atom_site_fract_y
_atom_site_fract_z
Cs1 Cs 0.0000 0.0000 0.0000
C1 C 0.5000 0.5000 0.5000
S1 S 0.0000 0.5000 0.5000
```

Results
Energy relative to the lowest polymorph listed for this composition in meV per atom: 1247
DOS(E_F) in states/eV/f.u.: 4.0


Record 5
Crystalline CsCS3 at its relaxed geometry. Source: Alexandria via LeMat-Bulk, functional PBE-GGA.

Cell and atoms, written as CIF:
```
data_CsCS3
_chemical_formula_sum 'Cs2 C2 S6'
_cell_length_a 6.2407
_cell_length_b 6.6284
_cell_length_c 8.8624
_cell_angle_alpha 90.00
_cell_angle_beta 90.65
_cell_angle_gamma 90.00
_symmetry_space_group_name_H-M 'P 1 21/m 1'
_symmetry_Int_Tables_number 11
loop_
_symmetry_equiv_pos_as_xyz
'x,y,z'
'-x,-y,-z'
'-x,y+1/2,-z'
'x,-y+1/2,z'
loop_
_atom_site_label
_atom_site_type_symbol
_atom_site_fract_x
_atom_site_fract_y
_atom_site_fract_z
Cs1 Cs 0.1831 0.2500 0.2392
C1 C 0.2381 0.2500 0.7921
S1 S 0.0603 0.2500 0.6468
S2 S 0.3235 0.0270 0.8668
```

Results
Energy relative to the lowest polymorph listed for this composition in meV per atom: 0
DOS(E_F) in states/eV/f.u.: 2.1


Record 6
Crystalline CsCS2 at its relaxed geometry. Source: Alexandria via LeMat-Bulk, functional PBE-GGA.

Cell and atoms, written as CIF:
```
data_CsCS2
_chemical_formula_sum 'Cs3 C3 S6'
_cell_length_a 5.8948
_cell_length_b 5.8948
_cell_length_c 16.6453
_cell_angle_alpha 90.00
_cell_angle_beta 90.00
_cell_angle_gamma 120.00
_symmetry_space_group_name_H-M 'R -3 m'
_symmetry_Int_Tables_number 166
_symmetry_space_group_name_Hall '-R 3 2"'
loop_
_atom_site_label
_atom_site_type_symbol
_atom_site_fract_x
_atom_site_fract_y
_atom_site_fract_z
Cs1 Cs 0.0000 0.0000 0.0000
C1 C 0.0000 0.0000 0.5000
S1 S 0.0000 0.0000 0.4037
```

Results
DOS(E_F) in states/eV/f.u.: 1.8


Record 7
Crystalline CsCS2 at its relaxed geometry. Source: Alexandria via LeMat-Bulk, functional PBE-GGA.

Cell and atoms, written as CIF:
```
data_CsCS2
_chemical_formula_sum 'Cs3 C3 S6'
_cell_length_a 4.0861
_cell_length_b 4.0861
_cell_length_c 18.1213
_cell_angle_alpha 90.00
_cell_angle_beta 90.00
_cell_angle_gamma 120.00
_symmetry_space_group_name_H-M 'R -3 m'
_symmetry_Int_Tables_number 166
_symmetry_space_group_name_Hall '-R 3 2"'
loop_
_atom_site_label
_atom_site_type_symbol
_atom_site_fract_x
_atom_site_fract_y
_atom_site_fract_z
Cs1 Cs 0.0000 0.0000 0.0000
C1 C 0.0000 0.0000 0.5000
S1 S 0.0000 0.0000 0.1915
```

Results
DOS(E_F) in states/eV/f.u.: 0.3


Record 8
Crystalline Cs3CS at its relaxed geometry. Source: Alexandria via LeMat-Bulk, functional PBE-GGA.

Cell and atoms, written as CIF:
```
data_Cs3CS
_chemical_formula_sum 'Cs3 C1 S1'
_cell_length_a 6.6596
_cell_length_b 6.6596
_cell_length_c 6.6596
_cell_angle_alpha 90.00
_cell_angle_beta 90.00
_cell_angle_gamma 90.00
_symmetry_space_group_name_H-M 'P m -3 m'
_symmetry_Int_Tables_number 221
_symmetry_space_group_name_Hall '-P 4 2 3'
loop_
_atom_site_label
_atom_site_type_symbol
_atom_site_fract_x
_atom_site_fract_y
_atom_site_fract_z
Cs1 Cs 0.0000 0.0000 0.5000
C1 C 0.5000 0.5000 0.5000
S1 S 0.0000 0.0000 0.0000
```

Results
DOS(E_F) in states/eV/f.u.: 0.0


Record 9
Crystalline CsSrC2S at its relaxed geometry. Source: Alexandria via LeMat-Bulk, functional PBE-GGA.

Cell and atoms, written as CIF:
```
data_CsSrC2S
_chemical_formula_sum 'Cs1 Sr1 C2 S1'
_cell_length_a 5.1202
_cell_length_b 5.1202
_cell_length_c 5.6589
_cell_angle_alpha 90.00
_cell_angle_beta 90.00
_cell_angle_gamma 90.00
_symmetry_space_group_name_H-M 'P 4/m m m'
_symmetry_Int_Tables_number 123
_symmetry_space_group_name_Hall '-P 4 2'
loop_
_atom_site_label
_atom_site_type_symbol
_atom_site_fract_x
_atom_site_fract_y
_atom_site_fract_z
Cs1 Cs 0.0000 0.0000 0.0000
Sr1 Sr 0.5000 0.5000 0.5000
C1 C 0.0000 0.5000 0.5000
S1 S 0.5000 0.5000 0.0000
```

Results
DOS(E_F) in states/eV/f.u.: 5.7


Record 10
Crystalline CsYC2S at its relaxed geometry. Source: Alexandria via LeMat-Bulk, functional PBE-GGA.

Cell and atoms, written as CIF:
```
data_CsYC2S
_chemical_formula_sum 'Cs1 Y1 C2 S1'
_cell_length_a 4.9014
_cell_length_b 4.9014
_cell_length_c 5.3760
_cell_angle_alpha 90.00
_cell_angle_beta 90.00
_cell_angle_gamma 90.00
_symmetry_space_group_name_H-M 'P 4/m m m'
_symmetry_Int_Tables_number 123
_symmetry_space_group_name_Hall '-P 4 2'
loop_
_atom_site_label
_atom_site_type_symbol
_atom_site_fract_x
_atom_site_fract_y
_atom_site_fract_z
Cs1 Cs 0.0000 0.0000 0.0000
Y1 Y 0.5000 0.5000 0.5000
C1 C 0.0000 0.5000 0.5000
S1 S 0.5000 0.5000 0.0000
```

Results
DOS(E_F) in states/eV/f.u.: 5.2


Record 11
Crystalline CsSb3C at its relaxed geometry. Source: Alexandria via LeMat-Bulk, functional PBE-GGA.

Cell and atoms, written as CIF:
```
data_CsSb3C
_chemical_formula_sum 'Cs1 Sb3 C1'
_cell_length_a 5.1362
_cell_length_b 5.1362
_cell_length_c 5.1362
_cell_angle_alpha 90.00
_cell_angle_beta 90.00
_cell_angle_gamma 90.00
_symmetry_space_group_name_H-M 'P m -3 m'
_symmetry_Int_Tables_number 221
_symmetry_space_group_name_Hall '-P 4 2 3'
loop_
_atom_site_label
_atom_site_type_symbol
_atom_site_fract_x
_atom_site_fract_y
_atom_site_fract_z
Cs1 Cs 0.0000 0.0000 0.0000
Sb1 Sb 0.0000 0.5000 0.5000
C1 C 0.5000 0.5000 0.5000
```

Results
Energy relative to the lowest polymorph listed for this composition in meV per atom: 0
DOS(E_F) in states/eV/f.u.: 4.1


Record 12
Crystalline CsSbC3 at its relaxed geometry. Source: Alexandria via LeMat-Bulk, functional PBE-GGA.

Cell and atoms, written as CIF:
```
data_CsSbC3
_chemical_formula_sum 'Cs1 Sb1 C3'
_cell_length_a 4.6212
_cell_length_b 4.6212
_cell_length_c 4.6212
_cell_angle_alpha 90.00
_cell_angle_beta 90.00
_cell_angle_gamma 90.00
_symmetry_space_group_name_H-M 'P m -3 m'
_symmetry_Int_Tables_number 221
_symmetry_space_group_name_Hall '-P 4 2 3'
loop_
_atom_site_label
_atom_site_type_symbol
_atom_site_fract_x
_atom_site_fract_y
_atom_site_fract_z
Cs1 Cs 0.0000 0.0000 0.0000
Sb1 Sb 0.5000 0.5000 0.5000
C1 C 0.0000 0.0000 0.5000
```

Results
Energy relative to the lowest polymorph listed for this composition in meV per atom: 1334
DOS(E_F) in states/eV/f.u.: 3.9


Taking the records one at a time from the top gives magnetic moment values of 0.00 0.00 0.00 0.00 0.00 3.00 0.00 3.00 5.00 1.64 0.00 1.89 Bohr magnetons per cell.
Taking the records one at a time from the top gives ΔE_f (raw) values of 1632 354 -382 1059 -188 -31 1082 495 1630 1152 925 3969 meV per atom.